{
  "formula": "Ac5CoPd2O",
  "functional": "PBE+U",
  "state": "relaxed",
  "volume_a3_per_fu": 265.0,
  "dft_energy_ev_per_atom": -5.393,
  "dos_at_fermi_per_ev_cell": 10.5,
  "cell": [[2.117, -9.178, 0.000], [2.117, 9.178, 0.000], [0.000, 0.000, 13.638]],
  "species": ["Ac", "Ac", "Ac", "Ac", "Ac", "Ac", "Ac", "Ac", "Ac", "Ac", "Co", "Co", "Pd", "Pd", "Pd", "Pd", "O", "O"],
  "fractional_positions": [[0.002, 0.998, 0.500], [0.144, 0.856, 0.745], [0.196, 0.804, 0.111], [0.209, 0.791, 0.400], [0.453, 0.547, 0.741], [0.547, 0.453, 0.241], [0.791, 0.209, 0.900], [0.804, 0.196, 0.611], [0.856, 0.144, 0.245], [0.998, 0.002, 0.000], [0.294, 0.706, 0.756], [0.706, 0.294, 0.256], [0.377, 0.623, 0.062], [0.388, 0.612, 0.418], [0.612, 0.388, 0.918], [0.623, 0.377, 0.562], [0.058, 0.942, 0.157], [0.942, 0.058, 0.657]]
}